This record from Alexandria via LeMat-Bulk describes crystalline KTlWSe4 at its relaxed geometry. The functional is PBE-GGA.

Lattice parameters (Å, degrees): 7.1891 7.2451 9.7465 90.00 108.43 90.00
Last column: nearest neighbours and their distance in Å.
Atoms (fractional coordinates):
K 0.7853 0.7500 0.4736  6 Se 3.34-3.72
K 0.2147 0.2500 0.5264  6 Se 3.34-3.72
Tl 0.7341 0.7500 0.9357  5 Se 3.29-3.61
Tl 0.2659 0.2500 0.0643  5 Se 3.29-3.61
W 0.1902 0.7500 0.2837  4 Se 2.33-2.35
W 0.8098 0.2500 0.7163  4 Se 2.33-2.35
Se 0.0162 0.5075 0.7896  1 W 2.35
Se 0.9838 0.0075 0.2104  1 W 2.35
Se 0.9838 0.4925 0.2104  1 W 2.35
Se 0.0162 0.9925 0.7896  1 W 2.35
Se 0.4195 0.7500 0.1599  1 W 2.33
Se 0.5805 0.2500 0.8401  1 W 2.33
Se 0.3349 0.7500 0.5347  1 W 2.34
Se 0.6651 0.2500 0.4653  1 W 2.34

Values from the calculation:
The calculation puts the total magnetization at 0.0 Bohr magnetons per cell. The total energy comes out at -4.9451 eV/atom. The calculation puts the uncorrected formation energy at -4.26 eV/f.u. The space group is P2_1/m, No. 11.